## NaSrUCl6 (PBE-GGA)

Data for a relaxed NaSrUCl6 crystal.

Values from the calculation:
Total magnetization ... 0.333 μB per atom
SG ... P-31c (163)
Calculated volume ... 31.20 A^3/atom
Energy relative to the elements, uncorrected ... -1959 meV per atom
Crystal system ... trigonal
DFT total energy ... -4.78 eV/atom
Theoretical density ... 3.320 g cm⁻³

Lattice parameters (Å, degrees): 7.123 7.123 12.781 90.00 90.00 120.00
Atoms (fractional coordinates):
Na1 0.333 0.667 0.250
Na2 0.667 0.333 0.750
Sr1 0.000 0.000 0.000
Sr2 0.000 0.000 0.500
U1 0.333 0.667 0.750
U2 0.667 0.333 0.250
Cl1 0.008 0.346 0.630
Cl2 0.008 0.662 0.870
Cl3 0.338 0.346 0.870
Cl4 0.338 0.992 0.630
Cl5 0.346 0.008 0.130
Cl6 0.346 0.338 0.370
Cl7 0.654 0.662 0.630
Cl8 0.654 0.992 0.870
Cl9 0.662 0.008 0.370
Cl10 0.662 0.654 0.130
Cl11 0.992 0.338 0.130
Cl12 0.992 0.654 0.370